# ZrCo2Os2 | Alexandria | PBE-GGA | optimized geometry
# Crystal system = tetragonal
# Distance to the lowest polymorph of the same formula = 0.0 kJ/mol of atoms
# Calculated formation energy = 0.021 eV per atom
data_ZrCo2Os2
_space_group_name_H-M_alt 'P 4/m b m'
_space_group_IT_number 127
_space_group_name_Hall '-P 4 2ab'
_cell_length_a 7.3150
_cell_length_b 7.3150
_cell_length_c 2.6512
_cell_angle_alpha 90.00
_cell_angle_beta 90.00
_cell_angle_gamma 90.00
loop_
_atom_site_label
_atom_site_fract_x
_atom_site_fract_y
_atom_site_fract_z
Zr1 0.0000 0.0000 0.0000
Co1 0.1173 0.3827 0.0000
Os1 0.1765 0.6765 0.5000